## Ac4CoGeI2 (PBE)

Data for a relaxed structure of Ac4CoGeI2.

```
Ac4CoGeI2
1.0
8.001 0.000 0.000
0.000 4.376 0.000
-2.359 0.000 8.406
Ac Co Ge I
4 1 1 2
Cartesian
1.250 0.000 1.545
0.058 2.188 6.816
5.583 2.188 1.590
4.391 0.000 6.861
0.000 2.188 0.000
4.000 0.000 0.000
-1.180 0.000 4.203
2.821 2.188 4.203
```

- Formation energy (no corrections): -0.7662 eV per atom


## Ac8Co3GeI4 (PBE)

Data for a relaxed structure of Ac8Co3GeI4.

```
Ac8Co3GeI4
1.0
8.783 0.000 0.000
4.386 7.639 0.000
4.384 2.556 8.521
Ac Co Ge I
8 3 1 4
Cartesian
4.264 2.619 2.712
6.574 6.368 2.668
8.659 7.573 5.813
6.588 3.961 5.809
10.966 6.234 2.713
8.894 2.622 2.708
10.979 3.827 5.854
13.289 7.576 5.809
2.192 1.278 4.261
4.385 5.097 4.261
8.777 5.097 4.261
6.584 1.278 4.261
0.000 0.000 0.000
2.193 3.820 0.000
4.391 0.000 0.000
6.585 3.820 0.000
```

- Formation energy (no corrections): -0.6845 eV per atom


## Ac6CoGe2I3 (PBE)

Data for a relaxed structure of Ac6CoGe2I3.

```
Ac6CoGe2I3
1.0
4.013 -6.790 0.000
4.013 6.790 0.000
-2.671 0.000 8.142
Ac Co Ge I
6 1 2 3
Cartesian
1.226 2.074 1.534
-0.094 0.000 6.478
1.226 -2.074 1.534
4.128 2.074 6.608
5.449 0.000 1.665
4.128 -2.074 6.608
0.000 0.000 0.000
4.013 2.252 0.000
4.013 -2.252 0.000
2.677 4.377 4.071
2.677 0.000 4.071
2.677 -4.377 4.071
```

- Formation energy (no corrections): -0.8314 eV per atom


## Ac8CoGe3I4 (PBE)

Data for a relaxed structure of Ac8CoGe3I4.

```
Ac8CoGe3I4
1.0
7.958 -4.593 0.000
7.958 4.593 0.000
-5.312 0.000 8.143
Ac Co Ge I
8 1 3 4
Cartesian
-0.158 0.000 5.641
4.055 2.434 5.639
6.549 2.434 2.504
2.649 0.000 2.396
7.955 0.000 5.747
4.055 -2.434 5.639
6.549 -2.434 2.504
10.762 0.000 2.501
-2.656 0.000 4.071
1.323 2.297 4.071
1.323 -2.297 4.071
5.302 0.000 4.071
0.000 0.000 0.000
3.979 2.297 0.000
3.979 -2.297 0.000
7.958 0.000 0.000
```

- Formation energy (no corrections): -0.8738 eV per atom


## AcCoGe2Ir (PBE)

Data for a relaxed structure of AcCoGe2Ir.

```
AcCoGe2Ir
1.0
-2.128 2.128 5.356
2.128 -2.128 5.356
2.128 2.128 -5.356
Ac Co Ge Ir
1 1 2 1
Cartesian
0.000 0.000 0.000
0.000 2.128 2.678
0.000 0.000 3.892
0.000 0.000 6.820
2.128 0.000 2.678
```

- Energy relative to the elements: -0.609 eV/atom


## AcCoGe3Ir (PBE)

Data for a relaxed structure of AcCoGe3Ir.

```
AcCoGe3Ir
1.0
3.239 -6.168 0.000
3.239 6.168 0.000
0.000 0.000 6.287
Ac Co Ge Ir
2 2 6 2
Cartesian
3.239 3.334 4.715
3.239 -3.334 1.572
3.239 5.716 1.572
3.239 -5.716 4.715
3.239 3.550 1.572
1.739 0.000 0.000
1.739 0.000 3.144
4.739 0.000 0.000
4.739 0.000 3.144
3.239 -3.550 4.715
3.239 1.235 1.572
3.239 -1.235 4.715
```

- Energy relative to the elements: -0.383 eV/atom


## Ac2CoGeIr (PBE)

Data for a relaxed structure of Ac2CoGeIr.

```
Ac2CoGeIr
1.0
4.281 0.000 0.000
0.000 4.281 0.000
0.000 0.000 13.950
Ac Co Ge Ir
4 2 2 2
Cartesian
1.070 1.070 1.425
1.070 1.070 9.375
3.211 3.211 4.575
3.211 3.211 12.525
1.070 3.211 6.975
3.211 1.070 6.975
1.070 1.070 5.825
3.211 3.211 8.125
1.070 1.070 12.291
3.211 3.211 1.659
```

- Energy relative to the elements: -0.547 eV/atom


## LiAcCoGe2 (PBE)

Data for a relaxed structure of LiAcCoGe2.

```
LiAcCoGe2
1.0
-2.167 2.167 5.142
2.167 -2.167 5.142
2.167 2.167 -5.142
Li Ac Co Ge
1 1 1 2
Cartesian
0.000 0.000 0.000
0.000 2.167 2.571
0.000 0.000 5.142
2.167 0.000 1.191
2.167 0.000 3.950
```

- Energy relative to the elements: -0.472 eV/atom


## Ac2MnCo3Ge4 (PBE)

Data for a relaxed structure of Ac2MnCo3Ge4.

```
Ac2MnCo3Ge4
1.0
4.248 0.000 0.000
0.000 4.248 0.000
0.000 0.000 10.229
Ac Mn Co Ge
2 1 3 4
Cartesian
0.000 2.124 2.498
2.124 0.000 7.732
0.000 0.000 5.115
0.000 2.124 9.003
2.124 0.000 1.226
2.124 2.124 5.115
0.000 0.000 0.000
0.000 2.124 6.448
2.124 0.000 3.781
2.124 2.124 0.000
```

- Energy relative to the elements: -0.428 eV/atom


## Ac2Co2Ge2N (PBE)

Data for a relaxed structure of Ac2Co2Ge2N.

```
Ac2Co2Ge2N
1.0
5.782 -2.084 0.000
5.782 2.084 0.000
-4.392 0.000 5.792
Ac Co Ge N
2 2 2 1
Cartesian
-0.723 0.000 1.775
7.895 0.000 4.017
2.614 0.000 1.424
4.558 0.000 4.368
-0.386 0.000 5.164
7.558 0.000 0.628
3.586 0.000 2.896
```

- Formation energy (no corrections): -0.6396 eV per atom


## Ac5CoGe2N (PBE)

Data for a relaxed structure of Ac5CoGe2N.

```
Ac5CoGe2N
1.0
2.263 -9.321 0.000
2.263 9.321 0.000
0.000 0.000 12.891
Ac Co Ge N
10 2 4 2
Cartesian
2.263 9.211 6.446
2.263 6.498 9.381
2.263 5.979 1.305
2.263 5.254 5.156
2.263 0.785 9.654
2.263 -0.785 3.208
2.263 -5.254 11.602
2.263 -5.979 7.751
2.263 -6.498 2.935
2.263 -9.211 0.000
2.263 3.819 9.690
2.263 -3.819 3.245
2.263 2.421 0.481
2.263 2.011 5.245
2.263 -2.011 11.690
2.263 -2.421 6.927
2.263 8.425 2.136
2.263 -8.425 8.582
```

- Formation energy (no corrections): -0.5634 eV per atom


## Ac2CoGeN (PBE)

Data for a relaxed structure of Ac2CoGeN.

```
Ac2CoGeN
1.0
6.640 0.000 0.000
0.000 4.113 0.000
-3.018 0.000 8.404
Ac Co Ge N
4 2 2 2
Cartesian
0.257 1.028 3.275
-1.423 1.028 8.116
5.044 3.084 0.288
3.364 3.084 5.129
2.397 3.084 2.089
1.225 1.028 6.315
0.040 3.084 5.905
3.582 1.028 2.499
0.667 3.084 1.446
2.955 1.028 6.958
```

- Formation energy (no corrections): -0.7074 eV per atom


## AcCo2GeN (PBE)

Data for a relaxed structure of AcCo2GeN.

```
AcCo2GeN
1.0
1.997 -5.595 0.000
1.997 5.595 0.000
0.000 0.000 6.989
Ac Co Ge N
2 4 2 2
Cartesian
1.997 4.988 5.242
1.997 -4.988 1.747
1.997 1.767 3.894
1.997 1.767 6.590
1.997 -1.767 0.400
1.997 -1.767 3.095
1.997 3.080 1.747
1.997 -3.080 5.242
1.997 0.000 0.000
1.997 0.000 3.495
```

- Formation energy (no corrections): -0.5235 eV per atom